Record 1
Computed, not measured: a geometry-optimized Zn2Si structure at the PBE-GGA level of DFT.

POSCAR file:
```
Zn2Si
1.0
3.953 0.000 0.000
0.000 3.953 0.000
0.000 0.000 3.349
Zn Si
2 1
Direct
0.000 0.500 0.500
0.500 0.000 0.500
0.000 0.000 0.000
```

Results
Space group: P4/mmm
Energy relative to the elements, uncorrected (eV per atom): 0.258
Calculated total energy (eV per atom): -2.399

---

Record 2
Computed, not measured: a geometry-optimized Zn4Si structure at the PBE-GGA level of DFT.

POSCAR file:
```
Zn4Si
1.0
-0.614 1.358 -3.768
-2.564 -2.680 1.630
-4.367 5.907 2.840
Zn Si
4 1
Direct
0.667 0.333 0.578
0.333 0.667 0.104
0.667 0.333 0.896
0.333 0.667 0.422
0.000 0.000 0.000
```

Results
Relative energy among the computed polymorphs (eV per formula unit): 1.19
Space group: P-3m1
Energy relative to the elements, uncorrected (eV per atom): 0.388
Calculated total energy (eV per atom): -1.716

---

Record 3
Computed, not measured: a geometry-optimized Zn3Si structure at the PBE-GGA level of DFT.

POSCAR file:
```
Zn3Si
1.0
3.461 -3.759 0.000
3.461 3.759 0.000
0.000 0.000 4.932
Si Zn
2 6
Direct
0.480 0.520 0.250
0.520 0.480 0.750
0.889 0.111 0.750
0.986 0.384 0.250
0.014 0.616 0.750
0.616 0.014 0.250
0.111 0.889 0.250
0.384 0.986 0.750
```

Results
Space group: Cmcm
Energy relative to the elements, uncorrected (eV per atom): 0.171
Calculated total energy (eV per atom): -2.140

---

Record 4
Computed, not measured: a geometry-optimized ZrZnSi2 structure at the PBE-GGA level of DFT.

POSCAR file:
```
ZrZnSi2
1.0
-1.810 0.685 -2.072
1.058 -2.083 -1.606
-5.614 -5.287 3.157
Zr Si Zn
1 2 1
Direct
0.500 0.500 0.760
0.500 0.500 0.248
0.000 0.000 0.006
0.000 0.000 0.486
```

Results
Space group: Cmm2
Energy relative to the elements, uncorrected (eV per atom): 0.094
Calculated total energy (eV per atom): -5.073

---

Record 5
Computed, not measured: a geometry-optimized ZrZnSi2 structure at the PBE-GGA level of DFT.

POSCAR file:
```
ZrZnSi2
1.0
-4.751 -0.327 1.709
-0.767 -3.738 3.322
3.382 3.735 -0.456
Zr Si Zn
1 2 1
Direct
0.250 0.750 0.500
0.000 0.000 0.000
0.500 0.500 0.000
0.750 0.250 0.500
```

Results
Space group: I4/mmm
Energy relative to the elements, uncorrected (eV per atom): -0.335
Calculated total energy (eV per atom): -5.502

---

Record 6
Computed, not measured: a geometry-optimized ZrZnSi2 structure at the PBE-GGA level of DFT.

POSCAR file:
```
ZrZnSi2
1.0
2.841 0.000 0.000
0.000 2.841 0.000
0.000 0.000 8.390
Zr Si Zn
1 2 1
Direct
0.500 0.500 0.750
0.000 0.000 0.500
0.000 0.000 0.000
0.500 0.500 0.250
```

Results
Space group: P4/mmm
Energy relative to the elements, uncorrected (eV per atom): 0.025
Calculated total energy (eV per atom): -5.142

---

Record 7
Computed, not measured: a geometry-optimized ZrZnSi4 structure at the PBE-GGA level of DFT.

POSCAR file:
```
ZrZnSi4
1.0
0.000 3.575 3.575
3.575 0.000 3.575
3.575 3.575 0.000
Si Zr Zn
4 1 1
Direct
0.875 0.375 0.375
0.375 0.875 0.375
0.375 0.375 0.375
0.375 0.375 0.875
0.000 0.000 0.000
0.750 0.750 0.750
```

Results
Space group: F-43m
Energy relative to the elements, uncorrected (eV per atom): -0.014
Calculated total energy (eV per atom): -5.267

---

Record 8
Computed, not measured: a geometry-optimized ZrZnSi2 structure at the PBE-GGA level of DFT.

POSCAR file:
```
ZrZnSi2
1.0
3.361 0.000 0.000
0.000 3.361 0.000
0.000 0.000 5.794
Si Zr Zn
2 1 1
Direct
0.500 0.500 0.245
0.000 0.000 0.031
0.500 0.500 0.764
0.000 0.000 0.459
```

Results
Space group: P4mm
Energy relative to the elements, uncorrected (eV per atom): -0.155
Calculated total energy (eV per atom): -5.323

---

> Which of these has the highest energy relative to the elements, uncorrected?

Zn4Si

---

> The lowest calculated total energy belongs to which entry?

number 5

---

> What is the calculated total energy in the fourth record?

-5.073 eV per atom

---

> Which value of energy relative to the elements, uncorrected does entry 8 give?

-0.155 eV per atom